No. 1
# TbTlCd4 | the Alexandria database | PBE | optimized geometry
data_TbTlCd4
_chemical_formula_sum 'Tb4 Tl4 Cd16'
_cell_length_a 8.454
_cell_length_b 8.454
_cell_length_c 8.454
_cell_angle_alpha 90.00
_cell_angle_beta 90.00
_cell_angle_gamma 90.00
_space_group_name_H-M_alt 'F -4 3 m'
_space_group_IT_number 216
_space_group_name_Hall 'F -4 2 3'
loop_
_atom_site_label
_atom_site_type_symbol
_atom_site_fract_x
_atom_site_fract_y
_atom_site_fract_z
_atom_site_occupancy
Tb1 Tb 0.000 0.000 0.000 1
Tl1 Tl 0.250 0.250 0.250 1
Cd1 Cd 0.125 0.125 0.625 1
# Total DFT energy (no corrections), eV/atom: -1.87

***

No. 2
# TbTl2Cd | the Alexandria database | PBE | optimized geometry
data_TbTl2Cd
_chemical_formula_sum 'Tb1 Tl2 Cd1'
_cell_length_a 4.754
_cell_length_b 4.754
_cell_length_c 4.579
_cell_angle_alpha 90.00
_cell_angle_beta 90.00
_cell_angle_gamma 90.00
_space_group_name_H-M_alt 'P 4/m m m'
_space_group_IT_number 123
_space_group_name_Hall '-P 4 2'
loop_
_atom_site_label
_atom_site_type_symbol
_atom_site_fract_x
_atom_site_fract_y
_atom_site_fract_z
_atom_site_occupancy
Tb1 Tb 0.000 0.000 0.000 1
Tl1 Tl 0.000 0.500 0.500 1
Cd1 Cd 0.500 0.500 0.000 1
# Total DFT energy (no corrections), eV/atom: -2.82

***

No. 3
# Tb2TlCd16 | the Alexandria database | PBE | optimized geometry
data_Tb2TlCd16
_chemical_formula_sum 'Tb6 Tl3 Cd48'
_cell_length_a 10.1891
_cell_length_b 10.1891
_cell_length_c 14.8394
_cell_angle_alpha 90.00
_cell_angle_beta 90.00
_cell_angle_gamma 120.00
_space_group_name_H-M_alt 'R 3 m'
_space_group_IT_number 160
_space_group_name_Hall 'R 3 -2"'
loop_
_atom_site_label
_atom_site_type_symbol
_atom_site_fract_x
_atom_site_fract_y
_atom_site_fract_z
_atom_site_occupancy
Tb1 Tb 0.0000 0.0000 0.0000 1
Tb2 Tb 0.0000 0.0000 0.3410 1
Tl1 Tl 0.0000 0.0000 0.7759 1
Cd1 Cd 0.0000 0.0000 0.5789 1
Cd2 Cd 0.0037 0.3129 0.6730 1
Cd3 Cd 0.0138 0.5069 0.5250 1
Cd4 Cd 0.0361 0.5180 0.1664 1
Cd5 Cd 0.0565 0.5282 0.8288 1
# Total DFT energy (no corrections), eV/atom: -1.47

***

No. 4
# Tb3Tl3Cd | the Alexandria database | PBE | optimized geometry
data_Tb3Tl3Cd
_chemical_formula_sum 'Tb12 Tl12 Cd4'
_cell_length_a 11.556
_cell_length_b 4.720
_cell_length_c 15.087
_cell_angle_alpha 90.00
_cell_angle_beta 108.31
_cell_angle_gamma 90.00
_space_group_name_H-M_alt 'C 1 2/m 1'
_space_group_IT_number 12
loop_
_space_group_symop_operation_xyz
'x,y,z'
'-x,-y,-z'
'-x,y,-z'
'x,-y,z'
'x+1/2,y+1/2,z'
'-x+1/2,-y+1/2,-z'
'-x+1/2,y+1/2,-z'
'x+1/2,-y+1/2,z'
loop_
_atom_site_label
_atom_site_type_symbol
_atom_site_fract_x
_atom_site_fract_y
_atom_site_fract_z
_atom_site_occupancy
Tb1 Tb 0.030 0.000 0.379 1
Tb2 Tb 0.100 0.000 0.923 1
Tb3 Tb 0.229 0.000 0.219 1
Tl1 Tl 0.004 0.500 0.228 1
Tl2 Tl 0.126 0.500 0.073 1
Tl3 Tl 0.137 0.500 0.542 1
Cd1 Cd 0.237 0.500 0.375 1
# Total DFT energy (no corrections), eV/atom: -3.41

***

No. 5
# Tb2TlCd4 | the Alexandria database | PBE | optimized geometry
data_Tb2TlCd4
_chemical_formula_sum 'Tb4 Tl2 Cd8'
_cell_length_a 5.800
_cell_length_b 5.800
_cell_length_c 11.998
_cell_angle_alpha 90.00
_cell_angle_beta 90.00
_cell_angle_gamma 90.00
_space_group_name_H-M_alt 'I 4/m m m'
_space_group_IT_number 139
_space_group_name_Hall '-I 4 2'
loop_
_atom_site_label
_atom_site_type_symbol
_atom_site_fract_x
_atom_site_fract_y
_atom_site_fract_z
_atom_site_occupancy
Tb1 Tb 0.000 0.000 0.143 1
Tl1 Tl 0.000 0.000 0.500 1
Cd1 Cd 0.000 0.500 0.000 1
Cd2 Cd 0.000 0.500 0.250 1
# Total DFT energy (no corrections), eV/atom: -2.13

***

No. 6
# TbTl2Cd | the Alexandria database | PBE | optimized geometry
data_TbTl2Cd
_chemical_formula_sum 'Tb3 Tl6 Cd3'
_cell_length_a 4.4335
_cell_length_b 4.4335
_cell_length_c 20.7792
_cell_angle_alpha 90.00
_cell_angle_beta 90.00
_cell_angle_gamma 120.00
_space_group_name_H-M_alt 'R 3 m'
_space_group_IT_number 160
_space_group_name_Hall 'R 3 -2"'
loop_
_atom_site_label
_atom_site_type_symbol
_atom_site_fract_x
_atom_site_fract_y
_atom_site_fract_z
_atom_site_occupancy
Tb1 Tb 0.0000 0.0000 0.0000 1
Tl1 Tl 0.0000 0.0000 0.4205 1
Tl2 Tl 0.0000 0.0000 0.5735 1
Cd1 Cd 0.0000 0.0000 0.8293 1
# Total DFT energy (no corrections), eV/atom: -2.56

***

No. 7
# TbTlCd | the Alexandria database | PBE | optimized geometry
data_TbTlCd
_chemical_formula_sum 'Tb1 Tl1 Cd1'
_cell_length_a 4.9684
_cell_length_b 4.9684
_cell_length_c 3.6413
_cell_angle_alpha 90.00
_cell_angle_beta 90.00
_cell_angle_gamma 120.00
_space_group_name_H-M_alt 'P 3 m 1'
_space_group_IT_number 156
loop_
_space_group_symop_operation_xyz
'x,y,z'
'-y,x-y,z'
'-x+y,-x,z'
'-y,-x,z'
'-x+y,y,z'
'x,x-y,z'
loop_
_atom_site_label
_atom_site_type_symbol
_atom_site_fract_x
_atom_site_fract_y
_atom_site_fract_z
_atom_site_occupancy
Tb1 Tb 0.0000 0.0000 0.0000 1
Tl1 Tl 0.6667 0.3333 0.5629 1
Cd1 Cd 0.3333 0.6667 0.4604 1
# Total DFT energy (no corrections), eV/atom: -2.91

***

No. 8
# Tb6Tl6Cd | the Alexandria database | PBE | optimized geometry
data_Tb6Tl6Cd
_chemical_formula_sum 'Tb6 Tl6 Cd1'
_cell_length_a 6.4822
_cell_length_b 6.4822
_cell_length_c 10.4868
_cell_angle_alpha 90.00
_cell_angle_beta 90.00
_cell_angle_gamma 120.00
_space_group_name_H-M_alt 'P 6/m m m'
_space_group_IT_number 191
_space_group_name_Hall '-P 6 2'
loop_
_atom_site_label
_atom_site_type_symbol
_atom_site_fract_x
_atom_site_fract_y
_atom_site_fract_z
_atom_site_occupancy
Tb1 Tb 0.0000 0.0000 0.1849 1
Tb2 Tb 0.3333 0.6667 0.0000 1
Tb3 Tb 0.3333 0.6667 0.5000 1
Tl1 Tl 0.0000 0.5000 0.2504 1
Cd1 Cd 0.0000 0.0000 0.5000 1
# Total DFT energy (no corrections), eV/atom: -3.48

***

No. 9
# Tb5TlCd6 | the Alexandria database | PBE | optimized geometry
data_Tb5TlCd6
_chemical_formula_sum 'Tb10 Tl2 Cd12'
_cell_length_a 16.577
_cell_length_b 7.676
_cell_length_c 5.194
_cell_angle_alpha 90.00
_cell_angle_beta 107.83
_cell_angle_gamma 90.00
_space_group_name_H-M_alt 'C 1 2/m 1'
_space_group_IT_number 12
loop_
_space_group_symop_operation_xyz
'x,y,z'
'-x,-y,-z'
'-x,y,-z'
'x,-y,z'
'x+1/2,y+1/2,z'
'-x+1/2,-y+1/2,-z'
'-x+1/2,y+1/2,-z'
'x+1/2,-y+1/2,z'
loop_
_atom_site_label
_atom_site_type_symbol
_atom_site_fract_x
_atom_site_fract_y
_atom_site_fract_z
_atom_site_occupancy
Tb1 Tb 0.000 0.000 0.000 1
Tb2 Tb 0.156 0.500 0.657 1
Tb3 Tb 0.171 0.000 0.671 1
Tl1 Tl 0.000 0.500 0.000 1
Cd1 Cd 0.000 0.237 0.500 1
Cd2 Cd 0.169 0.247 0.169 1
# Total DFT energy (no corrections), eV/atom: -2.86

***

No. 10
# Tb12Tl3Cd | the Alexandria database | PBE | optimized geometry
data_Tb12Tl3Cd
_chemical_formula_sum 'Tb12 Tl3 Cd1'
_cell_length_a 4.869
_cell_length_b 4.869
_cell_length_c 19.458
_cell_angle_alpha 90.00
_cell_angle_beta 90.00
_cell_angle_gamma 90.00
_space_group_name_H-M_alt 'P 4/m m m'
_space_group_IT_number 123
_space_group_name_Hall '-P 4 2'
loop_
_atom_site_label
_atom_site_type_symbol
_atom_site_fract_x
_atom_site_fract_y
_atom_site_fract_z
_atom_site_occupancy
Tb1 Tb 0.000 0.000 0.000 1
Tb2 Tb 0.000 0.000 0.249 1
Tb3 Tb 0.000 0.000 0.500 1
Tb4 Tb 0.000 0.500 0.124 1
Tb5 Tb 0.000 0.500 0.375 1
Tl1 Tl 0.500 0.500 0.250 1
Tl2 Tl 0.500 0.500 0.500 1
Cd1 Cd 0.500 0.500 0.000 1
# Total DFT energy (no corrections), eV/atom: -4.14

***

No. 11
# TbTlCd | the Alexandria database | PBE | optimized geometry
data_TbTlCd
_chemical_formula_sum 'Tb4 Tl4 Cd4'
_cell_length_a 7.011
_cell_length_b 7.011
_cell_length_c 7.011
_cell_angle_alpha 90.00
_cell_angle_beta 90.00
_cell_angle_gamma 90.00
_space_group_name_H-M_alt 'F -4 3 m'
_space_group_IT_number 216
_space_group_name_Hall 'F -4 2 3'
loop_
_atom_site_label
_atom_site_type_symbol
_atom_site_fract_x
_atom_site_fract_y
_atom_site_fract_z
_atom_site_occupancy
Tb1 Tb 0.000 0.000 0.000 1
Tl1 Tl 0.250 0.250 0.250 1
Cd1 Cd 0.000 0.000 0.500 1
# Total DFT energy (no corrections), eV/atom: -2.83

***

Number 1: formation enthalpy at 0 K -0.55 eV per formula unit, volume 25.18 A^3/atom, N(E_F) 14.303 states/eV/cell. Number 2: formation enthalpy at 0 K -1.01 eV per formula unit, volume 25.87 A^3/atom, N(E_F) 2.629 states/eV/cell. Number 3: formation enthalpy at 0 K -1.75 eV per formula unit, volume 23.41 A^3/atom, N(E_F) 17.060 states/eV/cell. Number 4: formation enthalpy at 0 K -1.99 eV per formula unit, volume 27.90 A^3/atom, N(E_F) 22.048 states/eV/cell. Number 5: formation enthalpy at 0 K 0.39 eV per formula unit, volume 28.83 A^3/atom, N(E_F) 15.414 states/eV/cell. Number 6: formation enthalpy at 0 K 0.02 eV per formula unit, volume 29.48 A^3/atom, N(E_F) 7.410 states/eV/cell. Number 7: formation enthalpy at 0 K -0.80 eV per formula unit, volume 25.95 A^3/atom, N(E_F) 2.176 states/eV/cell. Number 8: formation enthalpy at 0 K -2.37 eV per formula unit, volume 29.36 A^3/atom, N(E_F) 9.166 states/eV/cell. Number 9: formation enthalpy at 0 K -3.28 eV per formula unit, volume 26.21 A^3/atom, N(E_F) 20.753 states/eV/cell. Number 10: formation enthalpy at 0 K -2.60 eV per formula unit, volume 28.83 A^3/atom, N(E_F) 21.222 states/eV/cell. Number 11: formation enthalpy at 0 K -0.57 eV per formula unit, volume 28.72 A^3/atom, N(E_F) 1.262 states/eV/cell.